# CrBrN2O (PBE with a Hubbard U, optimized geometry)
data_CrBrN2O
_symmetry_space_group_name_H-M 'P 4/m m m'
_symmetry_Int_Tables_number 123
_symmetry_space_group_name_Hall '-P 4 2'
_cell_length_a 3.9602
_cell_length_b 3.9602
_cell_length_c 3.5899
_cell_angle_alpha 90.00
_cell_angle_beta 90.00
_cell_angle_gamma 90.00
loop_
_atom_site_label
_atom_site_type_symbol
_atom_site_fract_x
_atom_site_fract_y
_atom_site_fract_z
Cr1 Cr 0.0000 0.0000 0.0000
Br1 Br 0.5000 0.5000 0.5000
N1 N 0.0000 0.5000 0.0000
O1 O 0.0000 0.0000 0.5000
# raw total energy: -5.0274 eV per atom
# magnetization: 0.05 μB/f.u.
# crystal system: tetragonal
# DOS(E_F): 2.5 states/eV/f.u.